1.
Here is Y2Ga2Pb after structural relaxation from the Alexandria database. Energies are from GGA-PBE.

## Properties
Mass density ... 7.20 g/cm³
N(E_F) ... 5.23 states/eV per cell
Formation energy from the elements ... -2.91 eV per formula unit
Relative energy among the computed polymorphs ... 0.000 eV per atom

abc: 7.441 7.441 4.371
angles: 90.00 90.00 90.00
Space group P4/mbm (No. 127)
Unique sites:
Y  0.173  0.327  0.000
Ga  0.121  0.621  0.500
Pb  0.000  0.000  0.500

2.
Here is Mn2VIr2 after structural relaxation from the Alexandria database. Energies are from GGA-PBE.

## Properties
Mass density ... 13.29 g/cm³
N(E_F) ... 11.50 states/eV per cell
Formation energy from the elements ... 0.05 eV per formula unit
Relative energy among the computed polymorphs ... 0.081 eV per atom

abc: 7.159 7.159 2.658
angles: 90.00 90.00 90.00
Space group P4/mbm (No. 127)
Unique sites:
Mn  0.169  0.331  0.000
V  0.000  0.000  0.500
Ir  0.130  0.630  0.500

3.
Here is AcPaMnSi2 after structural relaxation from the Alexandria database. Energies are from GGA-PBE.

## Properties
ΔE_f (raw) ... -0.258 eV per atom
Mass density ... 8.35 g/cm³
N(E_F) ... 10.30 states/eV per cell

abc: 4.307 4.307 12.198
angles: 90.00 90.00 90.00
Space group I-4m2 (No. 119)
Unique sites:
Ac  0.000  0.000  0.000
Pa  0.000  0.500  0.750
Mn  0.000  0.500  0.250
Si  0.000  0.000  0.398

4.
Here is NpAsPd2 after structural relaxation from the Alexandria database. Energies are from GGA-PBE.

## Properties
Mass density ... 11.62 g/cm³
N(E_F) ... 23.81 states/eV per cell
Formation energy from the elements ... -1.82 eV per formula unit

abc: 4.155 7.117 5.477
angles: 90.00 112.23 90.00
Space group P2_1/m (No. 11)
Unique sites:
Np  0.059  0.250  0.117
As  0.227  0.750  0.455
Pd  0.367  0.055  0.733

5.
Here is Li3ZrPt after structural relaxation from the Alexandria database. Energies are from GGA-PBE.

## Properties
Mass density ... 5.60 g/cm³
N(E_F) ... 6.36 states/eV per cell
Formation energy from the elements ... 1.46 eV per formula unit
Relative energy among the computed polymorphs ... 0.000 eV per atom

abc: 4.499 4.499 4.499
angles: 90.00 90.00 90.00
Space group Pm-3m (No. 221)
Unique sites:
Li  0.000  0.000  0.500
Zr  0.500  0.500  0.500
Pt  0.000  0.000  0.000

6.
Here is Sm7Co2Sb2 after structural relaxation from the Alexandria database. Energies are from GGA-PBE.

## Properties
ΔE_f (raw) ... -0.416 eV per atom
Mass density ... 7.66 g/cm³
N(E_F) ... 28.46 states/eV per cell

abc: 3.973 15.962 9.671
angles: 90.00 90.00 90.00
Space group Imm2 (No. 44)
Unique sites:
Sm  0.000  0.000  0.000
Sm  0.000  0.127  0.416
Sm  0.000  0.315  0.615
Sm  0.000  0.352  0.263
Co  0.000  0.238  0.932
Sb  0.000  0.000  0.672
Sb  0.000  0.500  0.756

7.
Here is K2HfUO6 after structural relaxation from the Alexandria database. Energies are from GGA-PBE.

## Properties
ΔE_f (raw) ... -2.933 eV per atom
Mass density ... 6.61 g/cm³
N(E_F) ... 0.00 states/eV per cell

abc: 8.406 8.406 8.406
angles: 90.00 90.00 90.00
Space group Fm-3m (No. 225)
Unique sites:
K  0.250  0.250  0.250
Hf  0.000  0.000  0.000
U  0.000  0.000  0.500
O  0.000  0.000  0.250

8.
Here is MgBeHg2Mo after structural relaxation from the Alexandria database. Energies are from GGA-PBE.

## Properties
Mass density ... 9.55 g/cm³
N(E_F) ... 2.49 states/eV per cell
Formation energy from the elements ... 2.51 eV per formula unit

abc: 4.558 4.558 4.437
angles: 90.00 90.00 90.00
Space group P4/mmm (No. 123)
Unique sites:
Mg  0.000  0.000  0.000
Be  0.500  0.500  0.500
Hg  0.000  0.500  0.500
Mo  0.500  0.500  0.000

9.
Here is TiPb after structural relaxation from the Alexandria database. Energies are from GGA-PBE.

## Properties
Mass density ... 8.58 g/cm³
N(E_F) ... 12.33 states/eV per cell
Formation energy from the elements ... 0.64 eV per formula unit

abc: 7.8046 7.8046 5.6170
angles: 90.00 90.00 120.00
Space group P6_3/m (No. 176)
Unique sites:
Ti  0.1405  0.6875  0.2500
Pb  0.1220  0.7523  0.7500

10.
Here is BeRhBr2 after structural relaxation from the Alexandria database. Energies are from GGA-PBE.

## Properties
ΔE_f (raw) ... -0.375 eV per atom
Mass density ... 4.82 g/cm³
Relative energy among the computed polymorphs ... 0.029 eV per atom

abc: 3.623 6.682 8.219
angles: 82.48 78.74 74.46
Space group P1 (No. 1)
Unique sites:
Be  0.000  0.000  0.000
Be  0.457  0.225  0.855
Rh  0.085  0.076  0.736
Rh  0.640  0.822  0.896
Br  0.255  0.504  0.998
Br  0.398  0.955  0.189
Br  0.544  0.298  0.581
Br  0.821  0.757  0.604

11.
Here is CeSmInPb after structural relaxation from the Alexandria database. Energies are from GGA-PBE.

## Properties
Mass density ... 8.66 g/cm³
N(E_F) ... 34.47 states/eV per cell
Formation energy from the elements ... -1.56 eV per formula unit
Relative energy among the computed polymorphs ... 0.038 eV per atom

abc: 7.775 7.775 7.775
angles: 90.00 90.00 90.00
Space group F-43m (No. 216)
Unique sites:
Ce  0.000  0.000  0.000
Sm  0.000  0.000  0.500
In  0.250  0.250  0.250
Pb  0.250  0.250  0.750

12.
Here is NbPt2Au2 after structural relaxation from the Alexandria database. Energies are from GGA-PBE.

## Properties
Mass density ... 16.49 g/cm³
N(E_F) ... 8.75 states/eV per cell
Formation energy from the elements ... 0.67 eV per formula unit
Relative energy among the computed polymorphs ... 0.000 eV per atom

abc: 7.543 7.543 3.105
angles: 90.00 90.00 90.00
Space group P4/mbm (No. 127)
Unique sites:
Nb  0.000  0.000  0.000
Pt  0.169  0.331  0.500
Au  0.130  0.630  0.000

Question: What is the mass density in the tenth record?
Answer: 4.82 g/cm³